1.
VASP calculation (PBE) on an optimized crystal structure of Pr2Sm7Dy.

The energy of formation from the pure elements is 150 meV per atom. The density of states at the Fermi level is 15.7 states/eV/f.u. The relative energy among the computed polymorphs is 135 meV per atom. The calculation puts the size of the total moment at 0.0 μB/f.u. The calculation puts the density at 7.2 g/cm³. The total energy is -91.4 eV per cell.

The space group is Cmmm (No. 65) and the conventional cell measures 6.701, 29.374 and 3.499 Å, with angles of 90.00, 90.00 and 90.00 degrees. The asymmetric unit holds Pr at (0.000, 0.205, 0.000), Sm at (0.000, 0.000, 0.000), Sm at (0.000, 0.313, 0.500), Sm at (0.245, 0.402, 0.000) and Dy at (0.000, 0.500, 0.500).

2.
VASP calculation (PBE) on an optimized crystal structure of Cd2NiMo.

The energy of formation from the pure elements is 807 meV per atom. The density of states at the Fermi level is 4.6 states/eV/f.u. The relative energy among the computed polymorphs is 674 meV per atom. The calculation puts the size of the total moment at 0.0 μB/f.u. The calculation puts the density at 8.7 g/cm³. The total energy is -60.9 eV per cell.

The space group is I-42d (No. 122) and the conventional cell measures 7.427, 7.427 and 5.282 Å, with angles of 90.00, 90.00 and 90.00 degrees. The asymmetric unit holds Cd at (0.218, 0.250, 0.125), Ni at (0.000, 0.000, 0.000) and Mo at (0.000, 0.000, 0.500).

3.
VASP calculation (PBE) on an optimized crystal structure of LiLaAu.

The energy of formation from the pure elements is -562 meV per atom. The density of states at the Fermi level is 2.7 states/eV/f.u. The relative energy among the computed polymorphs is 0 meV per atom. The calculation puts the size of the total moment at 0.4 μB/f.u. The calculation puts the density at 7.8 g/cm³. The total energy is -23.6 eV per cell.

The space group is P4/nmm (No. 129, origin choice 2) and the conventional cell measures 4.138, 4.138 and 8.513 Å, with angles of 90.00, 90.00 and 90.00 degrees. The asymmetric unit holds Li at (0.250, 0.750, 0.000), La at (0.250, 0.250, 0.348) and Au at (0.250, 0.250, 0.779).